[1]
Compound: AgGe3Te4
Source: Alexandria via LeMat-Bulk
Functional: PBE
Structure: optimized geometry

Lattice parameters (Å, degrees): 4.1778 7.2728 7.4290 70.42 89.76 89.98
Space group P1 (No. 1)
One atom of each set of equivalent atoms:
Ag (0.0000, 0.0000, 0.0000) [1 per cell]
Ge (0.5035, 0.4939, 0.0222) [1 per cell]
Ge (0.5029, 0.9960, 0.5164) [1 per cell]
Ge (0.9992, 0.4994, 0.4959) [1 per cell]
Te (0.4976, 0.2470, 0.7355) [1 per cell]
Te (0.4995, 0.7448, 0.2392) [1 per cell]
Te (0.9972, 0.7521, 0.7338) [1 per cell]
Te (0.9978, 0.2526, 0.2374) [1 per cell]

## Properties
Energy relative to the lowest polymorph listed for this composition, eV per atom: 0.000
Calculated volume, Å³ per cell: 213

=====

[2]
Compound: Ag2GeTe4
Source: Alexandria via LeMat-Bulk
Functional: PBE
Structure: optimized geometry

Lattice parameters (Å, degrees): 5.9214 5.9214 12.5574 90.00 90.00 90.00
Space group I-42m (No. 121)
One atom of each set of equivalent atoms:
Ag (0.0000, 0.5000, 0.2500) [4 per cell]
Ge (0.0000, 0.0000, 0.0000) [2 per cell]
Te (0.2280, 0.2280, 0.6074) [8 per cell]

## Properties
Calculated volume, Å³ per cell: 440
Uncorrected energy, eV/atom: -3.246

=====

[3]
Compound: Ag3Ge2Te4
Source: Alexandria via LeMat-Bulk
Functional: PBE
Structure: optimized geometry

Lattice parameters (Å, degrees): 12.0076 11.7440 6.8815 90.00 95.21 90.00
Space group C2/c (No. 15)
One atom of each set of equivalent atoms:
Ag (0.0000, 0.2330, 0.2500) [4 per cell]
Ag (0.1357, 0.1272, 0.5756) [8 per cell]
Ge (0.1361, 0.3701, 0.9153) [8 per cell]
Te (0.1300, 0.1170, 0.9887) [8 per cell]
Te (0.1336, 0.3815, 0.5094) [8 per cell]

## Properties
Calculated volume, Å³ per cell: 966
Uncorrected energy, eV/atom: -3.390

=====

[4]
Compound: AgGe2Te3
Source: Alexandria via LeMat-Bulk
Functional: PBE
Structure: optimized geometry

Lattice parameters (Å, degrees): 5.8910 12.6207 8.4651 90.00 90.00 90.00
Space group P2_1/c (No. 14)
One atom of each set of equivalent atoms:
Ag (0.2495, 0.0876, 0.1309) [4 per cell]
Ge (0.2503, 0.0815, 0.6286) [4 per cell]
Ge (0.2501, 0.7418, 0.1253) [4 per cell]
Te (0.2499, 0.2430, 0.8777) [4 per cell]
Te (0.2504, 0.5829, 0.3654) [4 per cell]
Te (0.2499, 0.5837, 0.8718) [4 per cell]

## Properties
Energy relative to the lowest polymorph listed for this composition, eV per atom: 0.008
Calculated volume, Å³ per cell: 629

=====

[5]
Compound: AgGe2Te2
Source: Alexandria via LeMat-Bulk
Functional: PBE
Structure: optimized geometry

Lattice parameters (Å, degrees): 8.0508 8.0508 3.9803 90.00 90.00 90.00
Space group P4/mbm (No. 127)
One atom of each set of equivalent atoms:
Ag (0.0000, 0.0000, 0.0000) [2 per cell]
Ge (0.1332, 0.3668, 0.5000) [4 per cell]
Te (0.1845, 0.6845, 0.0000) [4 per cell]

## Properties
Energy relative to the lowest polymorph listed for this composition, eV per atom: 0.043
Calculated volume, Å³ per cell: 258

=====

[6]
Compound: Ag2GeTe3
Source: Alexandria via LeMat-Bulk
Functional: PBE
Structure: optimized geometry

Lattice parameters (Å, degrees): 4.5103 13.3598 6.4089 90.00 90.00 90.00
Space group Imm2 (No. 44)
One atom of each set of equivalent atoms:
Ag (0.0000, 0.1645, 0.0000) [4 per cell]
Ge (0.0000, 0.5000, 0.0235) [2 per cell]
Te (0.0000, 0.0000, 0.2745) [2 per cell]
Te (0.0000, 0.3360, 0.2488) [4 per cell]

## Properties
Energy relative to the lowest polymorph listed for this composition, eV per atom: 0.000
Calculated volume, Å³ per cell: 386

=====

[7]
Compound: Ag8GeTe6
Source: Alexandria via LeMat-Bulk
Functional: PBE
Structure: optimized geometry

Lattice parameters (Å, degrees): 8.4488 8.3429 11.6267 90.00 90.00 90.00
Space group Pmn2_1 (No. 31)
One atom of each set of equivalent atoms:
Ag (0.0000, 0.1123, 0.0000) [2 per cell]
Ag (0.0000, 0.2502, 0.4546) [2 per cell]
Ag (0.1829, 0.0082, 0.2087) [4 per cell]
Ag (0.2165, 0.6607, 0.1121) [4 per cell]
Ag (0.2232, 0.5999, 0.8349) [4 per cell]
Ge (0.0000, 0.7554, 0.4792) [2 per cell]
Te (0.0000, 0.0025, 0.6128) [2 per cell]
Te (0.0000, 0.2944, 0.2141) [2 per cell]
Te (0.0000, 0.5169, 0.6254) [2 per cell]
Te (0.0000, 0.7807, 0.9606) [2 per cell]
Te (0.2427, 0.2535, 0.8572) [4 per cell]

## Properties
Energy relative to the lowest polymorph listed for this composition, eV per atom: 0.000
Calculated volume, Å³ per cell: 820

=====

[8]
Compound: Ag8GeTe6
Source: Alexandria via LeMat-Bulk
Functional: PBE
Structure: optimized geometry

Lattice parameters (Å, degrees): 8.1951 8.2499 8.2748 92.16 118.44 118.04
Space group P1 (No. 1)
One atom of each set of equivalent atoms:
Ag (0.0000, 0.0000, 0.0000) [1 per cell]
Ag (0.0107, 0.7262, 0.7348) [1 per cell]
Ag (0.2037, 0.5331, 0.2889) [1 per cell]
Ag (0.3192, 0.9322, 0.2766) [1 per cell]
Ag (0.4261, 0.1188, 0.9989) [1 per cell]
Ag (0.4953, 0.5079, 0.9707) [1 per cell]
Ag (0.7265, 0.3135, 0.5718) [1 per cell]
Ag (0.7791, 0.2020, 0.9125) [1 per cell]
Ge (0.9524, 0.0955, 0.4766) [1 per cell]
Te (0.1529, 0.4723, 0.6034) [1 per cell]
Te (0.2240, 0.9806, 0.5907) [1 per cell]
Te (0.4211, 0.3522, 0.2487) [1 per cell]
Te (0.6624, 0.9285, 0.0990) [1 per cell]
Te (0.6822, 0.9280, 0.5923) [1 per cell]
Te (0.8855, 0.5826, 0.9805) [1 per cell]

## Properties
Energy relative to the lowest polymorph listed for this composition, eV per atom: 0.009
Calculated volume, Å³ per cell: 409

=====

[9]
Compound: Ag4Ge2Te5
Source: Alexandria via LeMat-Bulk
Functional: PBE
Structure: optimized geometry

Lattice parameters (Å, degrees): 4.3183 4.3183 57.4598 90.00 90.00 120.00
Space group R-3m (No. 166, hexagonal axes)
One atom of each set of equivalent atoms:
Ag (0.0000, 0.0000, 0.0828) [6 per cell]
Ag (0.0000, 0.0000, 0.1817) [6 per cell]
Ge (0.0000, 0.0000, 0.3629) [6 per cell]
Te (0.0000, 0.0000, 0.0000) [3 per cell]
Te (0.0000, 0.0000, 0.1306) [6 per cell]
Te (0.0000, 0.0000, 0.2748) [6 per cell]

## Properties
Calculated volume, Å³ per cell: 928
Uncorrected energy, eV/atom: -3.315

=====

[10]
Compound: AgGe2Te6
Source: Alexandria via LeMat-Bulk
Functional: PBE
Structure: optimized geometry

Lattice parameters (Å, degrees): 15.5493 11.4927 7.6165 90.00 99.95 90.00
Space group C2/c (No. 15)
One atom of each set of equivalent atoms:
Ag (0.0000, 0.1878, 0.2500) [4 per cell]
Ge (0.2131, 0.0979, 0.1684) [8 per cell]
Te (0.1087, 0.3828, 0.7748) [8 per cell]
Te (0.1362, 0.3144, 0.1315) [8 per cell]
Te (0.1513, 0.0963, 0.4745) [8 per cell]

## Properties
Calculated volume, Å³ per cell: 1341
Uncorrected energy, eV/atom: -3.370

=====

Q: Among the records above, which one has the lowest calculated volume?
A: AgGe3Te4

=====

Q: Which formula does entry 8 have?
A: Ag8GeTe6

=====

Q: calculated volume of number 6 (Ag2GeTe3)?
A: 386 Å³ per cell

=====

Please write out number 4 again, unchanged.
Compound: AgGe2Te3
Source: Alexandria via LeMat-Bulk
Functional: PBE
Structure: optimized geometry

Lattice parameters (Å, degrees): 5.8910 12.6207 8.4651 90.00 90.00 90.00
Space group P2_1/c (No. 14)
One atom of each set of equivalent atoms:
Ag (0.2495, 0.0876, 0.1309) [4 per cell]
Ge (0.2503, 0.0815, 0.6286) [4 per cell]
Ge (0.2501, 0.7418, 0.1253) [4 per cell]
Te (0.2499, 0.2430, 0.8777) [4 per cell]
Te (0.2504, 0.5829, 0.3654) [4 per cell]
Te (0.2499, 0.5837, 0.8718) [4 per cell]

## Properties
Energy relative to the lowest polymorph listed for this composition, eV per atom: 0.008
Calculated volume, Å³ per cell: 629